A geometry-optimized HfZr4Ag structure. Source: Alexandria via LeMat-Bulk, functional PBE-GGA.

Cell: 3.182 3.182 13.115 Å, 90.00 90.00 90.00°
Fractional coordinates of all 6 atoms:
Hf  0.000  0.000  0.000
Zr  0.500  0.500  0.170
Zr  0.000  0.000  0.658
Zr  0.000  0.000  0.342
Zr  0.500  0.500  0.830
Ag  0.500  0.500  0.500

Values from the calculation:
formation enthalpy at 0 K	-19	meV/atom
D(E_F)	7.68	states/eV per cell
calculated total energy	-7.852	eV/atom